LiReW (GGA-PBE, optimized geometry); Fermi-level density of states = 0.722 states/eV/atom; space group = F-43m, No. 216; energy of formation = 0.923 eV per atom; DFT total energy = -24.55 eV per formula unit
1.0
0.000 2.971 2.971
2.971 0.000 2.971
2.971 2.971 0.000
Li Re W
1 1 1
Direct
0.000 0.000 0.000
0.250 0.250 0.250
0.500 0.500 0.500

Ce2Tl3ZnS6 (GGA-PBE, optimized geometry); Fermi-level density of states = 0.604 states/eV/atom; space group = C2/m, No. 12; DFT total energy = -57.96 eV per formula unit
1.0
3.508 -6.003 0.000
3.508 6.003 0.000
-2.370 0.000 7.488
Ce Tl Zn S
2 3 1 6
Direct
0.166 0.834 0.000
0.834 0.166 0.000
0.000 0.000 0.500
0.331 0.669 0.500
0.669 0.331 0.500
0.500 0.500 0.000
0.119 0.434 0.808
0.240 0.240 0.204
0.434 0.119 0.808
0.566 0.881 0.192
0.760 0.760 0.796
0.881 0.566 0.192

CrCuMo2 (GGA-PBE, optimized geometry); Fermi-level density of states = 1.142 states/eV/atom; space group = R3m, No. 160; energy of formation = 0.448 eV per atom; DFT total energy = -33.59 eV per formula unit
1.0
1.339 0.773 9.236
-1.339 0.773 9.236
0.000 -1.547 9.236
Cr Cu Mo
1 1 2
Direct
0.000 0.000 0.000
0.743 0.743 0.743
0.250 0.250 0.250
0.493 0.493 0.493

Tm7Bi2Ru2 (GGA-PBE, optimized geometry); Fermi-level density of states = 0.772 states/eV/atom; space group = Imm2, No. 44; energy of formation = -0.492 eV per atom; DFT total energy = -63.02 eV per formula unit
1.0
-1.967 8.086 4.592
1.967 -8.086 4.592
1.967 8.086 -4.592
Tm Bi Ru
7 2 2
Direct
0.000 0.000 0.000
0.281 0.416 0.865
0.305 0.622 0.683
0.551 0.416 0.135
0.596 0.254 0.342
0.912 0.254 0.658
0.938 0.622 0.317
0.262 0.762 0.500
0.666 0.666 0.000
0.174 0.932 0.241
0.691 0.932 0.759

ScCrSN2 (GGA-PBE, optimized geometry); Fermi-level density of states = 0.610 states/eV/atom; space group = P4/mmm, No. 123; DFT total energy = -33.73 eV per formula unit
1.0
4.087 0.000 0.000
0.000 4.087 0.000
0.000 0.000 5.066
Sc Cr S N
1 1 1 2
Direct
0.000 0.000 0.000
0.500 0.500 0.500
0.000 0.000 0.500
0.000 0.500 0.000
0.500 0.000 0.000

Sm2Mn2GaRh5 (GGA-PBE, optimized geometry); Fermi-level density of states = 0.670 states/eV/atom; space group = P4/mbm, No. 127; energy of formation = -0.416 eV per atom; DFT total energy = -71.72 eV per formula unit
1.0
9.639 0.000 0.000
0.000 9.639 0.000
0.000 0.000 3.682
Sm Mn Ga Rh
4 4 2 10
Direct
0.178 0.322 0.000
0.322 0.822 0.000
0.678 0.178 0.000
0.822 0.678 0.000
0.122 0.622 0.000
0.378 0.122 0.000
0.622 0.878 0.000
0.878 0.378 0.000
0.000 0.000 0.000
0.500 0.500 0.000
0.000 0.500 0.500
0.062 0.797 0.500
0.203 0.062 0.500
0.297 0.562 0.500
0.438 0.297 0.500
0.500 0.000 0.500
0.562 0.703 0.500
0.703 0.438 0.500
0.797 0.938 0.500
0.938 0.203 0.500

AcSmTh2Se4 (GGA-PBE, optimized geometry); Fermi-level density of states = 0.659 states/eV/atom; space group = P2/m, No. 10; DFT total energy = -50.86 eV per formula unit
1.0
7.310 0.000 0.000
0.000 4.270 0.000
-2.474 0.000 7.015
Ac Sm Th Se
1 1 2 4
Direct
0.000 0.000 0.000
0.500 0.500 0.000
0.000 0.500 0.500
0.500 0.000 0.500
0.258 0.000 0.749
0.262 0.500 0.257
0.738 0.500 0.743
0.742 0.000 0.251

Ag2PdAu (GGA-PBE, optimized geometry); Fermi-level density of states = 0.422 states/eV/atom; space group = Immm, No. 71; energy of formation = 0.157 eV per atom; DFT total energy = -13.55 eV per formula unit
1.0
-1.401 2.423 5.518
1.401 -2.423 5.518
1.401 2.423 -5.518
Ag Pd Au
2 1 1
Direct
0.247 0.247 0.000
0.753 0.753 0.000
0.000 0.000 0.000
0.500 0.500 0.000

CaPmHoAl (GGA-PBE, optimized geometry); Fermi-level density of states = 0.733 states/eV/atom; space group = F-43m, No. 216; energy of formation = -0.059 eV per atom; DFT total energy = -15.31 eV per formula unit
1.0
0.000 3.838 3.838
3.838 0.000 3.838
3.838 3.838 0.000
Ca Pm Ho Al
1 1 1 1
Direct
0.000 0.000 0.000
0.750 0.750 0.750
0.250 0.250 0.250
0.500 0.500 0.500

TcRhBr2 (GGA-PBE, optimized geometry); Fermi-level density of states = 0.653 states/eV/atom; space group = P4mm, No. 99; DFT total energy = -20.03 eV per formula unit
1.0
3.073 0.000 0.000
0.000 3.073 0.000
0.000 0.000 8.698
Tc Rh Br
1 1 2
Direct
0.000 0.000 0.000
0.500 0.500 0.827
0.000 0.000 0.613
0.500 0.500 0.202

Dy3CdCu8 (GGA-PBE, optimized geometry); Fermi-level density of states = 0.648 states/eV/atom; space group = R3m, No. 160; energy of formation = -0.204 eV per atom; DFT total energy = -49.94 eV per formula unit
1.0
2.591 1.496 8.489
-2.591 1.496 8.489
0.000 -2.992 8.489
Dy Cd Cu
3 1 8
Direct
0.000 0.000 0.000
0.126 0.126 0.126
0.615 0.615 0.615
0.493 0.493 0.493
0.056 0.056 0.565
0.056 0.565 0.056
0.058 0.559 0.559
0.308 0.308 0.308
0.559 0.058 0.559
0.559 0.559 0.058
0.565 0.056 0.056
0.810 0.810 0.810

PuThOs2 (GGA-PBE, optimized geometry); Fermi-level density of states = 1.536 states/eV/atom; space group = P2_1/c, No. 14; energy of formation = -0.062 eV per atom; DFT total energy = -44.46 eV per formula unit
1.0
7.928 0.000 0.000
0.000 5.827 0.000
-0.014 0.000 7.569
Pu Th Os
4 4 8
Direct
0.123 0.153 0.174
0.123 0.347 0.674
0.877 0.653 0.326
0.877 0.847 0.826
0.373 0.650 0.325
0.373 0.850 0.825
0.627 0.150 0.175
0.627 0.350 0.675
0.106 0.667 0.057
0.106 0.833 0.557
0.357 0.149 0.445
0.357 0.351 0.945
0.643 0.649 0.055
0.643 0.851 0.555
0.894 0.167 0.443
0.894 0.333 0.943